A) BeSbAs2: optimized geometry, PBEsol.

Results
symmetry	P2/m (10)
calculated density	6.22	g cm⁻³

a b c (Å): 4.4217 3.7189 4.8087
angles (deg): 90.00 108.62 90.00
Fractional coordinates of all 4 atoms:
1 Be 0.0000 0.0000 0.0000
2 Sb 0.5000 0.0000 0.5000
3 As 0.2294 0.5000 0.8111
4 As 0.7706 0.5000 0.1889

---

B) BeSbAs2: optimized geometry, PBEsol.

Results
symmetry	P4mm (99)
calculated density	5.87	g cm⁻³

a b c (Å): 2.9984 2.9984 8.8283
angles (deg): 90.00 90.00 90.00
Fractional coordinates of all 4 atoms:
1 Be 0.0000 0.0000 0.0000
2 Sb 0.5000 0.5000 0.4328
3 As 0.0000 0.0000 0.7505
4 As 0.5000 0.5000 0.1245

---

So which one is most stable? That would be A), about 71 meV/atom below the next structure.

---

A) LiAuBr2: optimized geometry, PBEsol.

Results
symmetry	Fm-3m (225)
calculated density	7.21	g cm⁻³

a b c (Å): 6.9467 6.9467 6.9467
angles (deg): 90.00 90.00 90.00
Fractional coordinates of all 16 atoms:
1 Li 0.0000 0.0000 0.0000
2 Li 0.0000 0.5000 0.5000
3 Li 0.5000 0.0000 0.5000
4 Li 0.5000 0.5000 0.0000
5 Au 0.0000 0.0000 0.5000
6 Au 0.0000 0.5000 0.0000
7 Au 0.5000 0.0000 0.0000
8 Au 0.5000 0.5000 0.5000
9 Br 0.2500 0.2500 0.2500
10 Br 0.2500 0.2500 0.7500
11 Br 0.2500 0.7500 0.2500
12 Br 0.2500 0.7500 0.7500
13 Br 0.7500 0.2500 0.2500
14 Br 0.7500 0.2500 0.7500
15 Br 0.7500 0.7500 0.2500
16 Br 0.7500 0.7500 0.7500

---

B) LiAuBr2: optimized geometry, PBEsol.

Results
symmetry	Immm (71)
calculated density	6.29	g cm⁻³

a b c (Å): 3.9693 6.6863 7.2397
angles (deg): 90.00 90.00 90.00
Fractional coordinates of all 8 atoms:
1 Li 0.0000 0.0000 0.0000
2 Li 0.5000 0.5000 0.5000
3 Au 0.0000 0.0000 0.5000
4 Au 0.5000 0.5000 0.0000
5 Br 0.0000 0.5000 0.2500
6 Br 0.0000 0.5000 0.7500
7 Br 0.5000 0.0000 0.2500
8 Br 0.5000 0.0000 0.7500

---

So which one is most stable? That would be B), about 117 meV/atom below the next structure.

---

A) Cd2AgRh: optimized geometry, PBEsol.

Results
symmetry	Pmmm (47)
calculated density	10.73	g cm⁻³

a b c (Å): 3.0387 3.6952 6.0058
angles (deg): 90.00 90.00 90.00
Fractional coordinates of all 4 atoms:
1 Cd 0.0000 0.0000 0.2382
2 Cd 0.0000 0.0000 0.7618
3 Ag 0.5000 0.5000 0.5000
4 Rh 0.5000 0.5000 0.0000

---

B) Cd2AgRh: optimized geometry, PBEsol.

Results
symmetry	Cm (8)
calculated density	10.67	g cm⁻³

a b c (Å): 10.1666 3.0364 4.7314
angles (deg): 90.00 111.89 90.00
Fractional coordinates of all 8 atoms:
1 Cd 0.0000 0.0000 0.0000
2 Cd 0.2361 0.0000 0.6225
3 Cd 0.5000 0.5000 0.0000
4 Cd 0.7361 0.5000 0.6225
5 Ag 0.4829 0.0000 0.4852
6 Ag 0.9829 0.5000 0.4852
7 Rh 0.2431 0.5000 0.1206
8 Rh 0.7431 0.0000 0.1206

---

So which one is most stable? That would be A), about 37 meV/atom below the next structure.